KVB2F8 | GGA+U | relaxed

Structure (POSCAR):
```
KVB2F8
1.0
2.552 1.473 7.613
-2.552 1.473 7.613
0.000 -2.947 7.613
K V B F
1 1 2 8
Direct
0.000 0.000 0.000
0.500 0.500 0.500
0.250 0.250 0.250
0.750 0.750 0.750
0.032 0.774 0.504
0.226 0.496 0.968
0.312 0.312 0.312
0.496 0.968 0.226
0.504 0.032 0.774
0.688 0.688 0.688
0.774 0.504 0.032
0.968 0.226 0.496
```

Summary:
electronic total energy	-5.623	eV per atom